The following is a DFT calculation (PBE) of a geometry-optimized Ca2MnCo structure.

- DFT formation energy: 0.51 eV/atom
- Volume: 22.45 Å³ per atom
- M_tot: 1.173 μB/atom
- Relative energy among the computed polymorphs: 251 meV per atom

Cell lengths 3.5458, 3.5369, 7.9877 Å; angles 63.70, 90.00, 90.00 degrees
Fractional coordinates of all 4 atoms:
Ca  0.0000  0.9759  0.0241
Ca  0.0000  0.5241  0.4759
Mn  0.5000  0.7500  0.7500
Co  0.5000  0.2500  0.2500